[1]
An optimized crystal structure of Sb2S3O12. Source: Alexandria via LeMat-Bulk, functional PBEsol.

```
34
Lattice="4.653 2.686 7.278 -4.653 2.686 7.278 0.000 -5.373 7.278" Properties=species:S:1:pos:R:3 pbc="T T T"
Sb 0.000 0.000 2.963
Sb 0.000 0.000 7.825
Sb 0.000 0.000 14.009
Sb 0.000 0.000 18.871
S -2.203 -2.659 9.050
S -3.404 0.578 12.784
S -1.202 3.237 9.050
S 1.202 -3.237 12.784
S 3.404 -0.578 9.050
S 2.203 2.659 12.784
O -1.749 -0.025 4.176
O -0.997 -3.484 9.144
O -1.901 -1.279 8.674
O -3.516 -0.879 12.691
O -1.528 0.633 6.508
O 0.896 -1.502 4.176
O 0.216 -1.640 6.508
O -2.519 2.605 9.144
O 0.853 1.527 4.176
O -2.058 1.007 13.160
O 0.157 -2.286 13.160
O -1.312 -1.007 15.326
O 1.312 1.007 6.508
O -0.157 2.286 8.674
O 2.058 -1.007 8.674
O -0.853 -1.527 17.658
O 2.519 -2.605 12.691
O -0.216 1.640 15.326
O -0.896 1.502 17.658
O 1.528 -0.633 15.326
O 3.516 0.879 9.144
O 1.901 1.279 13.160
O 0.997 3.484 12.691
O 1.749 0.025 17.658
```

Results
E above lowest polymorph (meV per atom): 0
Fermi-level density of states (states/eV per cell): 0.0
Total magnetic moment (μB/cell): 0.0

=====

[2]
An optimized crystal structure of NaSrMn3. Source: Alexandria via LeMat-Bulk, functional PBEsol.

```
5
Lattice="5.020 0.000 0.000 0.000 5.020 0.000 0.000 0.000 5.020" Properties=species:S:1:pos:R:3 pbc="T T T"
Na 0.000 0.000 0.000
Sr 2.510 2.510 2.510
Mn 0.000 0.000 2.510
Mn 0.000 2.510 0.000
Mn 2.510 0.000 0.000
```

Results
Fermi-level density of states (states/eV per cell): 9.2
Total magnetic moment (μB/cell): 12.2
VASP energy (eV per atom): -4.968